(1)
The following is a PBE calculation of crystalline AcTb4Er6 at its relaxed geometry, from the Alexandria database.

Unit cell a=5.754 b=5.645 c=25.588 alpha=90.00 beta=90.00 gamma=120.64
Fractional positions:
1 Ac 0.817 0.635 0.250
2 Ac 0.183 0.365 0.750
3 Tb 0.839 0.679 0.542
4 Tb 0.480 0.959 0.122
5 Tb 0.161 0.321 0.458
6 Tb 0.520 0.041 0.878
7 Tb 0.839 0.679 0.958
8 Tb 0.161 0.321 0.042
9 Tb 0.520 0.041 0.622
10 Tb 0.480 0.959 0.378
11 Er 0.500 0.000 0.000
12 Er 0.500 0.000 0.500
13 Er 0.149 0.298 0.320
14 Er 0.851 0.702 0.680
15 Er 0.851 0.702 0.820
16 Er 0.149 0.298 0.180
17 Er 0.818 0.636 0.401
18 Er 0.182 0.364 0.599
19 Er 0.182 0.364 0.901
20 Er 0.818 0.636 0.099
21 Er 0.482 0.963 0.250
22 Er 0.518 0.037 0.750

Values from the calculation:
**SG**: No. 63
**Uncorrected energy**: -4.41 eV/atom
**N(E_F)**: 37.68 states/eV per cell
**Magnetization**: 0.013 Bohr magnetons per cell
**E_form**: 0.137 eV/atom
**Excess energy over the best structure of this formula in the dataset**: 0 meV per atom

=====

(2)
The following is a PBE calculation of crystalline AcPrPb at its relaxed geometry, from the Alexandria database.

Unit cell a=4.455 b=5.439 c=5.439 alpha=120.00 beta=90.00 gamma=90.00
Fractional positions:
1 Pb 0.503 0.667 0.333
2 Pr 0.498 0.333 0.667
3 Ac 0.999 0.000 0.000

Values from the calculation:
**SG**: No. 156
**Uncorrected energy**: -4.43 eV/atom
**N(E_F)**: 2.46 states/eV per cell
**Magnetization**: 0.000 Bohr magnetons per cell
**E_form**: -0.234 eV/atom
**Excess energy over the best structure of this formula in the dataset**: 207 meV per atom

=====

(3)
The following is a PBE calculation of crystalline Pr4Sm2Hg3N2 at its relaxed geometry, from the Alexandria database.

Unit cell a=4.919 b=4.919 c=13.022 alpha=100.89 beta=100.89 gamma=90.00
Fractional positions:
1 Pr 0.412 0.912 0.825
2 Pr 0.912 0.412 0.825
3 Pr 0.088 0.588 0.175
4 Pr 0.588 0.088 0.175
5 Sm 0.301 0.301 0.602
6 Sm 0.699 0.699 0.398
7 Hg 0.000 0.000 0.000
8 Hg 0.176 0.176 0.352
9 Hg 0.824 0.824 0.648
10 N 0.390 0.390 0.779
11 N 0.610 0.610 0.221

Values from the calculation:
**SG**: No. 139
**Uncorrected energy**: -4.83 eV/atom
**N(E_F)**: 12.93 states/eV per cell
**E_form (uncorrected)**: -0.639 eV/atom
**Magnetization**: 0.000 Bohr magnetons per cell

=====

(4)
The following is a PBE calculation of crystalline RbNa2Ag at its relaxed geometry, from the Alexandria database.

Unit cell a=4.058 b=4.058 c=9.327 alpha=90.00 beta=90.00 gamma=90.00
Fractional positions:
1 Na 0.000 0.000 0.837
2 Na 0.000 0.000 0.163
3 Rb 0.500 0.500 0.500
4 Ag 0.500 0.500 0.000

Values from the calculation:
**SG**: No. 123
**Uncorrected energy**: -1.52 eV/atom
**N(E_F)**: 2.42 states/eV per cell
**Magnetization**: 0.000 Bohr magnetons per cell
**E_form**: 0.095 eV/atom
**Excess energy over the best structure of this formula in the dataset**: 82 meV per atom

=====

(5)
The following is a PBE calculation of crystalline Nb3RhN at its relaxed geometry, from the Alexandria database.

Unit cell a=4.369 b=5.237 c=7.941 alpha=113.42 beta=90.00 gamma=114.65
Fractional positions:
1 Nb 0.876 0.753 0.798
2 Nb 0.124 0.247 0.202
3 Nb 0.623 0.247 0.926
4 Nb 0.377 0.753 0.074
5 Nb 0.861 0.723 0.338
6 Nb 0.139 0.277 0.662
7 Rh 0.373 0.747 0.557
8 Rh 0.627 0.253 0.443
9 N 0.126 0.252 0.929
10 N 0.874 0.748 0.071

Values from the calculation:
**SG**: No. 12
**Uncorrected energy**: -9.79 eV/atom
**N(E_F)**: 7.77 states/eV per cell
**E_form (uncorrected)**: -0.608 eV/atom
**Magnetization**: 0.000 Bohr magnetons per cell

=====

(6)
The following is a PBE calculation of crystalline KTa2Cd at its relaxed geometry, from the Alexandria database.

Unit cell a=6.867 b=6.867 c=6.867 alpha=157.05 beta=133.13 gamma=52.81
Fractional positions:
1 Cd 0.750 0.250 0.500
2 K 0.250 0.750 0.500
3 Ta 0.969 0.969 0.000
4 Ta 0.531 0.531 0.000

Values from the calculation:
**SG**: No. 71
**Uncorrected energy**: -5.64 eV/atom
**N(E_F)**: 2.31 states/eV per cell
**Magnetization**: 0.000 Bohr magnetons per cell
**E_form**: 0.790 eV/atom

=====

(7)
The following is a PBE calculation of crystalline CaIn2Pb at its relaxed geometry, from the Alexandria database.

Unit cell a=5.643 b=3.589 c=5.767 alpha=86.26 beta=90.00 gamma=90.00
Fractional positions:
1 Pb 0.500 0.250 0.250
2 Ca 0.500 0.750 0.750
3 In 0.000 0.067 0.004
4 In 0.000 0.433 0.496

Values from the calculation:
**SG**: No. 10
**Uncorrected energy**: -3.01 eV/atom
**N(E_F)**: 2.60 states/eV per cell
**Magnetization**: 0.000 Bohr magnetons per cell
**E_form**: -0.211 eV/atom

=====

(8)
The following is a PBE calculation of crystalline LaCdFe2 at its relaxed geometry, from the Alexandria database.

Unit cell a=9.866 b=9.866 c=9.866 alpha=17.70 beta=17.70 gamma=17.70
Site moments in Bohr magnetons follow the coordinates.
Fractional positions:
1 Cd 0.736 0.736 0.736  0.03
2 Fe 0.991 0.991 0.991  -2.53
3 Fe 0.265 0.265 0.265  2.58
4 La 0.508 0.508 0.508  0.34

Values from the calculation:
**SG**: No. 160
**Uncorrected energy**: -5.10 eV/atom
**N(E_F)**: 6.85 states/eV per cell
**Magnetization**: 0.617 Bohr magnetons per cell
**E_form**: 0.591 eV/atom